Density functional theory data (PBE) for an optimized crystal structure of Ac2Pr2S7.

Summary:
Energy in Ry/atom: -0.4356
SG: Cmmm (65)

a = 7.2436 Å, b = 7.2436 Å, c = 6.0791 Å
α = 90.00°, β = 90.00°, γ = 94.88°
Fractional positions:
Ac (0.2484, 0.2484, 0.0000)
Ac (0.7516, 0.7516, 0.0000)
Pr (0.2314, 0.7686, 0.5000)
Pr (0.7686, 0.2314, 0.5000)
S (0.0000, 0.0000, 0.2555)
S (0.0000, 0.0000, 0.7445)
S (0.0000, 0.5000, 0.2405)
S (0.0000, 0.5000, 0.7595)
S (0.5000, 0.0000, 0.2405)
S (0.5000, 0.0000, 0.7595)
S (0.5000, 0.5000, 0.5000)

***

Density functional theory data (PBE) for an optimized crystal structure of Ac3PrS.

Summary:
Energy in Ry/atom: -0.3618
SG: Pm-3m (221)

a = 5.8582 Å, b = 5.8582 Å, c = 5.8582 Å
α = 90.00°, β = 90.00°, γ = 90.00°
Fractional positions:
Ac (0.0000, 0.0000, 0.5000)
Ac (0.0000, 0.5000, 0.0000)
Ac (0.5000, 0.0000, 0.0000)
Pr (0.5000, 0.5000, 0.5000)
S (0.0000, 0.0000, 0.0000)

***

Density functional theory data (PBE) for an optimized crystal structure of AcPrS2.

Summary:
Energy in Ry/atom: -0.4575
SG: R3m (160)

a = 7.6714 Å, b = 7.6714 Å, c = 7.6714 Å
α = 31.14°, β = 31.14°, γ = 31.14°
Fractional positions:
Ac (0.0000, 0.0000, 0.0000)
Pr (0.1772, 0.1772, 0.1772)
S (0.5831, 0.5831, 0.5831)
S (0.7597, 0.7597, 0.7597)

***

Density functional theory data (PBE) for an optimized crystal structure of AcPrSe2S.

Summary:
Energy in Ry/atom: -0.4290
SG: P4/nmm (129)

a = 4.3948 Å, b = 4.3948 Å, c = 15.3635 Å
α = 90.00°, β = 90.00°, γ = 90.00°
Fractional positions:
Ac (0.2500, 0.2500, 0.1245)
Ac (0.7500, 0.7500, 0.8755)
Pr (0.2500, 0.2500, 0.6085)
Pr (0.7500, 0.7500, 0.3915)
Se (0.2500, 0.2500, 0.4054)
Se (0.2500, 0.2500, 0.7924)
Se (0.7500, 0.7500, 0.2076)
Se (0.7500, 0.7500, 0.5946)
S (0.2500, 0.7500, 0.0000)
S (0.7500, 0.2500, 0.0000)

***

Density functional theory data (PBE) for an optimized crystal structure of Ac2Pr2Se3S2.

Summary:
Energy in Ry/atom: -0.4168
SG: I4/mmm (139)

a = 8.6381 Å, b = 8.6381 Å, c = 8.6381 Å
α = 139.69°, β = 139.69°, γ = 58.33°
Fractional positions:
Ac (0.2134, 0.2134, 0.0000)
Ac (0.7866, 0.7866, 0.0000)
Pr (0.0000, 0.5000, 0.5000)
Pr (0.5000, 0.0000, 0.5000)
Se (0.0000, 0.0000, 0.0000)
Se (0.2500, 0.7500, 0.5000)
Se (0.7500, 0.2500, 0.5000)
S (0.4035, 0.4035, 0.0000)
S (0.5965, 0.5965, 0.0000)

***

Density functional theory data (PBE) for an optimized crystal structure of AcPrSmS3.

Summary:
Energy in Ry/atom: -0.4499
SG: P2_1/m (11)

a = 7.9553 Å, b = 4.1314 Å, c = 10.3315 Å
α = 90.00°, β = 102.77°, γ = 90.00°
Fractional positions:
Ac (0.1875, 0.2500, 0.2129)
Ac (0.8125, 0.7500, 0.7871)
Pr (0.3359, 0.7500, 0.9060)
Pr (0.6641, 0.2500, 0.0940)
Sm (0.1768, 0.2500, 0.6201)
Sm (0.8232, 0.7500, 0.3799)
S (0.0871, 0.2500, 0.8842)
S (0.1899, 0.7500, 0.4379)
S (0.4737, 0.7500, 0.1962)
S (0.5263, 0.2500, 0.8038)
S (0.8101, 0.2500, 0.5621)
S (0.9129, 0.7500, 0.1158)

***

Number 1: volume 317.82 Å³ per cell. Number 2: volume 201.05 Å³ per cell. Number 3: volume 107.10 Å³ per cell. Number 4: volume 296.73 Å³ per cell. Number 5: volume 267.30 Å³ per cell. Number 6: volume 331.16 Å³ per cell.